1.
# GGA-PBE RbCr2Ni4, relaxed
# ΔE_f = 12.98 eV per formula unit
# DFT total energy = -4.338 eV per atom
data_RbCr2Ni4
_cell_length_a 4.671
_cell_length_b 4.671
_cell_length_c 12.782
_cell_angle_alpha 90.00
_cell_angle_beta 90.00
_cell_angle_gamma 90.00
_symmetry_space_group_name_H-M 'P 1'
_symmetry_Int_Tables_number 1
_symmetry_space_group_name_Hall 'P 1'
loop_
_atom_site_label
_atom_site_fract_x
_atom_site_fract_y
_atom_site_fract_z
Rb1 0.000 0.000 0.000
Rb2 0.500 0.500 0.500
Cr1 0.000 0.000 0.398
Cr2 0.000 0.000 0.602
Cr3 0.500 0.500 0.102
Cr4 0.500 0.500 0.898
Ni1 0.000 0.000 0.228
Ni2 0.000 0.000 0.772
Ni3 0.000 0.500 0.000
Ni4 0.000 0.500 0.500
Ni5 0.500 0.000 0.000
Ni6 0.500 0.000 0.500
Ni7 0.500 0.500 0.272
Ni8 0.500 0.500 0.728

2.
# GGA-PBE Ho6CS2, relaxed
# DFT total energy = -5.923 eV per atom
# Formation energy (no corrections) = -0.93 eV/atom
data_Ho6CS2
_cell_length_a 7.203
_cell_length_b 7.203
_cell_length_c 8.961
_cell_angle_alpha 104.73
_cell_angle_beta 104.73
_cell_angle_gamma 29.83
_symmetry_space_group_name_H-M 'P 1'
_symmetry_Int_Tables_number 1
_symmetry_space_group_name_Hall 'P 1'
loop_
_atom_site_label
_atom_site_fract_x
_atom_site_fract_y
_atom_site_fract_z
Ho1 0.021 0.021 0.280
Ho2 0.311 0.311 0.360
Ho3 0.376 0.376 0.983
Ho4 0.624 0.624 0.017
Ho5 0.689 0.689 0.640
Ho6 0.979 0.979 0.720
C1 0.000 0.000 0.000
S1 0.332 0.332 0.668
S2 0.668 0.668 0.332